1.
A plane-wave DFT calculation with PBE-GGA was carried out for an optimized crystal structure of MgCd2.

formation energy from the elements	0.267	eV/atom
total energy	-0.875	eV/atom
space-group type	P4_2/mnm, No. 136
DOS(E_F)	2.2	states/eV/cell

Cell lengths 5.9290, 5.9290, 5.1974 Å; angles 90.00, 90.00, 90.00 degrees
Last column: nearest neighbours and their distance in Å.
Positions (direct):
Mg: 0.0000 0.0000 0.0000  6 Cd 2.76-2.97
Mg: 0.5000 0.5000 0.5000  6 Cd 2.76-2.97
Cd: 0.1711 0.1711 0.5000  3 Mg 2.76-2.97, 1 Cd 2.87
Cd: 0.3289 0.6711 0.0000  3 Mg 2.76-2.97, 1 Cd 2.87
Cd: 0.6711 0.3289 0.0000  3 Mg 2.76-2.97, 1 Cd 2.87
Cd: 0.8289 0.8289 0.5000  3 Mg 2.76-2.97, 1 Cd 2.87

---

2.
A plane-wave DFT calculation with PBE-GGA was carried out for an optimized crystal structure of Sb2PbSeI.

total energy	-2.954	eV/atom
formation energy from raw total energies	2.22	eV/f.u.
space-group type	P4/mmm, No. 123
DOS(E_F)	5.7	states/eV/cell

Cell lengths 5.4675, 5.4675, 5.8024 Å; angles 90.00, 90.00, 90.00 degrees
Last column: nearest neighbours and their distance in Å.
Positions (direct):
Sb: 0.0000 0.5000 0.0000  2 Se 2.73
Sb: 0.5000 0.0000 0.0000  2 Se 2.73
Pb: 0.0000 0.0000 0.5000  4 I 3.87, 8 Sb 3.99
Se: 0.5000 0.5000 0.0000  4 Sb 2.73, 2 I 2.90
I: 0.5000 0.5000 0.5000  2 Se 2.90